# 1
# Dy2TmHgC PBE relaxed
data_Dy2TmHgC
_chemical_formula_sum 'Dy2 Tm1 Hg1 C1'
_symmetry_space_group_name_H-M 'P 1'
_symmetry_Int_Tables_number 1
_cell_length_a 4.775
_cell_length_b 4.925
_cell_length_c 4.925
_cell_angle_alpha 90.00
_cell_angle_beta 90.00
_cell_angle_gamma 90.00
loop_
_symmetry_equiv_pos_as_xyz
'x,y,z'
loop_
_atom_site_label
_atom_site_type_symbol
_atom_site_fract_x
_atom_site_fract_y
_atom_site_fract_z
_atom_site_occupancy
Dy1 Dy 0.000 0.000 0.500 1
Dy2 Dy 0.000 0.500 0.000 1
Tm1 Tm 0.500 0.000 0.000 1
Hg1 Hg 0.500 0.500 0.500 1
C1 C 0.000 0.000 0.000 1
# Energy of formation from the pure elements: -0.39 eV per atom
# N(E_F): 1.407 states/eV per atom
# Energy: -5.03 eV per atom

# 2
# Ac2NiIr PBE relaxed
data_Ac2NiIr
_chemical_formula_sum 'Ac2 Ni1 Ir1'
_symmetry_space_group_name_H-M 'P 1'
_symmetry_Int_Tables_number 1
_cell_length_a 3.738
_cell_length_b 5.206
_cell_length_c 5.206
_cell_angle_alpha 90.00
_cell_angle_beta 90.00
_cell_angle_gamma 90.00
loop_
_symmetry_equiv_pos_as_xyz
'x,y,z'
loop_
_atom_site_label
_atom_site_type_symbol
_atom_site_fract_x
_atom_site_fract_y
_atom_site_fract_z
_atom_site_occupancy
Ni1 Ni 0.500 0.000 0.000 1
Ac1 Ac 0.000 0.000 0.500 1
Ac2 Ac 0.000 0.500 0.000 1
Ir1 Ir 0.500 0.500 0.500 1
# Energy of formation from the pure elements: -0.32 eV per atom
# N(E_F): 0.366 states/eV per atom
# Energy: -6.03 eV per atom